1.
# As2HWBr

A crystal of As2HWBr relaxed with PBEsol (SCAN, Alexandria).

Summary:
Mass density   9.1 g/cm³
Total energy   -25.44 eV per atom

extended XYZ file:
```
5
Lattice="3.9488 0.0000 0.0000 0.0000 3.9488 0.0000 0.0000 0.0000 4.8751" Properties=species:S:1:pos:R:3 pbc="T T T"
As 0.0000 1.9744 0.0000
As 1.9744 0.0000 0.0000
H 0.0000 0.0000 0.0000
W 1.9744 1.9744 2.4375
Br 0.0000 0.0000 2.4375
```

---

2.
# YSiAs2

A crystal of YSiAs2 relaxed with PBEsol (SCAN, Alexandria).

Summary:
Mass density   5.8 g/cm³
Uncorrected formation energy   -0.403 eV per atom

extended XYZ file:
```
4
Lattice="4.4915 0.0000 0.0000 0.0000 4.4915 0.0000 0.0000 0.0000 3.7868" Properties=species:S:1:pos:R:3 pbc="T T T"
Y 0.0000 0.0000 0.0000
Si 2.2458 2.2458 0.0000
As 0.0000 2.2458 1.8934
As 2.2458 0.0000 1.8934
```

---

3.
# Cr2FePt

A crystal of Cr2FePt relaxed with PBEsol (SCAN, Alexandria).

Summary:
Mass density   12.5 g/cm³
Total energy   -31.37 eV per atom

extended XYZ file:
```
8
Lattice="3.5969 0.0000 0.0000 0.0000 3.5969 0.0000 0.0000 0.0000 7.2989" Properties=species:S:1:pos:R:3 pbc="T T T"
Cr 0.0000 1.7985 1.8247
Cr 0.0000 1.7985 5.4742
Cr 1.7985 0.0000 1.8247
Cr 1.7985 0.0000 5.4742
Fe 0.0000 0.0000 0.0000
Fe 1.7985 1.7985 3.6494
Pt 0.0000 0.0000 3.6494
Pt 1.7985 1.7985 0.0000
```

---

4.
# USi2RuRh

A crystal of USi2RuRh relaxed with PBEsol (SCAN, Alexandria).

Summary:
Mass density   10.5 g/cm³
Uncorrected formation energy   -0.763 eV per atom

extended XYZ file:
```
10
Lattice="4.0225 0.0000 0.0000 0.0000 4.0225 0.0000 0.0000 0.0000 9.7455" Properties=species:S:1:pos:R:3 pbc="T T T"
U 0.0000 0.0000 0.0000
U 2.0113 2.0113 4.8728
Si 0.0000 0.0000 3.6962
Si 0.0000 0.0000 6.0494
Si 2.0113 2.0113 1.1766
Si 2.0113 2.0113 8.5689
Ru 0.0000 2.0113 7.3092
Ru 2.0113 0.0000 2.4364
Rh 0.0000 2.0113 2.4364
Rh 2.0113 0.0000 7.3092
```

---

5.
# Ni2AgIr

A crystal of Ni2AgIr relaxed with PBEsol (SCAN, Alexandria).

Summary:
Mass density   13.5 g/cm³
Offset from the most stable computed form   0.0 kJ/mol of formula units

extended XYZ file:
```
4
Lattice="4.3901 0.0000 0.0000 0.0000 4.3901 0.0000 0.0000 0.0000 2.6608" Properties=species:S:1:pos:R:3 pbc="T T T"
Ni 0.0000 2.1950 0.0000
Ni 2.1950 0.0000 0.0000
Ag 0.0000 0.0000 1.3304
Ir 2.1950 2.1950 1.3304
```

---

6.
# FePCl8

A crystal of FePCl8 relaxed with PBEsol (SCAN, Alexandria).

Summary:
Mass density   2.1 g/cm³
Uncorrected formation energy   -0.872 eV per atom

extended XYZ file:
```
40
Lattice="6.0215 0.0000 0.0000 0.0000 14.2443 0.0000 0.0000 0.0000 13.5778" Properties=species:S:1:pos:R:3 pbc="T T T"
Fe 1.3780 0.2215 3.3945
Fe 1.3780 6.9007 10.1834
Fe 4.6435 7.3436 3.3945
Fe 4.6435 14.0228 10.1834
P 2.7639 10.6832 0.0000
P 2.7639 10.6832 6.7889
P 3.2577 3.5611 0.0000
P 3.2577 3.5611 6.7889
Cl 0.6253 7.8431 8.3706
Cl 0.6253 7.8431 11.9961
Cl 0.6253 13.5234 1.5817
Cl 0.6253 13.5234 5.2072
Cl 0.8428 2.3601 3.3945
Cl 0.8428 4.7621 10.1834
Cl 1.6228 9.9278 1.3970
Cl 1.6228 9.9278 5.3919
Cl 1.6228 11.4387 8.1859
Cl 1.6228 11.4387 12.1808
Cl 2.1133 2.1704 7.5478
Cl 2.1133 2.1704 12.8189
Cl 2.1133 4.9518 0.7589
Cl 2.1133 4.9518 6.0300
Cl 2.4806 7.1768 3.3945
Cl 2.4806 14.1897 10.1834
Cl 3.5410 0.0547 3.3945
Cl 3.5410 7.0675 10.1834
Cl 3.9083 9.2925 7.5478
Cl 3.9083 9.2925 12.8189
Cl 3.9083 12.0740 0.7589
Cl 3.9083 12.0740 6.0300
Cl 4.3987 2.8056 1.3970
Cl 4.3987 2.8056 5.3919
Cl 4.3987 4.3165 8.1859
Cl 4.3987 4.3165 12.1808
Cl 5.1788 9.4822 3.3945
Cl 5.1788 11.8843 10.1834
Cl 5.3962 0.7210 8.3706
Cl 5.3962 0.7210 11.9961
Cl 5.3962 6.4012 1.5817
Cl 5.3962 6.4012 5.2072
```

---

7.
# CsGe3Cl

A crystal of CsGe3Cl relaxed with PBEsol (SCAN, Alexandria).

Summary:
Mass density   3.5 g/cm³
Uncorrected formation energy   1.817 eV per atom

extended XYZ file:
```
5
Lattice="5.6706 0.0000 0.0000 0.0000 5.6706 0.0000 0.0000 0.0000 5.6706" Properties=species:S:1:pos:R:3 pbc="T T T"
Cs 0.0000 0.0000 0.0000
Ge 0.0000 0.0000 2.8353
Ge 0.0000 2.8353 0.0000
Ge 2.8353 0.0000 0.0000
Cl 2.8353 2.8353 2.8353
```

---

8.
# LuTlO2

A crystal of LuTlO2 relaxed with PBEsol (SCAN, Alexandria).

Summary:
Mass density   11.0 g/cm³
Uncorrected formation energy   -2.673 eV per atom

extended XYZ file:
```
12
Lattice="3.3560 0.0000 0.0000 -1.6780 2.9063 0.0000 0.0000 0.0000 19.1419" Properties=species:S:1:pos:R:3 pbc="T T T"
Lu 0.0000 0.0000 0.0000
Lu 0.0000 1.9376 12.7613
Lu 1.6780 0.9688 6.3806
Tl 0.0000 0.0000 9.5710
Tl 0.0000 1.9376 3.1903
Tl 1.6780 0.9688 15.9516
O 0.0000 0.0000 5.3010
O 0.0000 0.0000 13.8409
O 0.0000 1.9376 7.4603
O 0.0000 1.9376 18.0623
O 1.6780 0.9688 1.0796
O 1.6780 0.9688 11.6816
```

---

9.
# ReTc

A crystal of ReTc relaxed with PBEsol (SCAN, Alexandria).

Summary:
Mass density   16.5 g/cm³
Offset from the most stable computed form   0.9 kJ/mol of formula units

extended XYZ file:
```
12
Lattice="9.9987 0.0000 0.0000 0.0000 2.7374 0.0000 -1.6263 0.0000 6.2612" Properties=species:S:1:pos:R:3 pbc="T T T"
Re 0.0000 0.0000 0.0000
Re -0.4276 0.0000 3.8369
Re 1.1492 1.3687 2.0778
Re 4.9993 1.3687 0.0000
Re 4.5717 1.3687 3.8369
Re 6.1485 0.0000 2.0778
Tc 0.7099 1.3687 5.9071
Tc 2.2578 0.0000 4.1823
Tc 3.4374 0.0000 1.7438
Tc 5.7093 0.0000 5.9071
Tc 7.2572 1.3687 4.1823
Tc 8.4368 1.3687 1.7438
```

---

10.
# SiTeBr2

A crystal of SiTeBr2 relaxed with PBEsol (SCAN, Alexandria).

Summary:
Mass density   5.6 g/cm³
Uncorrected formation energy   0.621 eV per atom
Offset from the most stable computed form   284.8 kJ/mol of formula units

extended XYZ file:
```
4
Lattice="4.6191 0.0000 0.0000 0.0000 4.6191 0.0000 0.0000 0.0000 4.3933" Properties=species:S:1:pos:R:3 pbc="T T T"
Si 0.0000 0.0000 0.0000
Te 2.3096 2.3096 0.0000
Br 0.0000 2.3096 2.1967
Br 2.3096 0.0000 2.1967
```

---

11.
# CrCSeN2

A crystal of CrCSeN2 relaxed with PBEsol (SCAN, Alexandria).

Summary:
Mass density   5.6 g/cm³
Uncorrected formation energy   1.968 eV per atom

extended XYZ file:
```
5
Lattice="3.5236 0.0000 0.0000 0.0000 3.5236 0.0000 0.0000 0.0000 4.1130" Properties=species:S:1:pos:R:3 pbc="T T T"
Cr 0.0000 0.0000 0.0000
C 1.7618 1.7618 2.0565
Se 1.7618 1.7618 0.0000
N 0.0000 1.7618 2.0565
N 1.7618 0.0000 2.0565
```

---

12.
# Ta3AlPb

A crystal of Ta3AlPb relaxed with PBEsol (SCAN, Alexandria).

Summary:
Mass density   12.4 g/cm³
Offset from the most stable computed form   0.0 kJ/mol of formula units

extended XYZ file:
```
5
Lattice="4.7076 0.0000 0.0000 0.0000 4.7076 0.0000 0.0000 0.0000 4.7076" Properties=species:S:1:pos:R:3 pbc="T T T"
Ta 0.0000 0.0000 2.3538
Ta 0.0000 2.3538 0.0000
Ta 2.3538 0.0000 0.0000
Al 0.0000 0.0000 0.0000
Pb 2.3538 2.3538 2.3538
```

---

M_tot / μB per formula unit: 2.5; 0.0; 0.1; 2.1; 1.2; 5.0; 0.0; 0.0; 0.0; 0.0; 1.3; 1.1